--- i ---
## YTmMg (PBE)

Data for a relaxed structure of YTmMg.

Calculated values
SG: No. 216

a b c (Å): 5.1997 5.1997 5.1997
angles (deg): 60.00 60.00 60.00
With the nearest neighbours (Å) after each atom.
Fractional coordinates of all 3 atoms:
1 Y 0.0000 0.0000 0.0000  4 Mg 3.18
2 Tm 0.5000 0.5000 0.5000  4 Mg 3.18
3 Mg 0.7500 0.7500 0.7500  4 Tm 3.18, 4 Y 3.18

--- ii ---
## YTmMg (PBE)

Data for a relaxed structure of YTmMg.

Calculated values
SG: No. 63

a b c (Å): 8.8217 8.8217 5.4485
angles (deg): 90.00 90.00 156.27
With the nearest neighbours (Å) after each atom.
Fractional coordinates of all 6 atoms:
1 Y 0.2249 0.7751 0.7500  2 Mg 3.34, 6 Y 3.39-3.63, 4 Tm 3.52-3.59
2 Y 0.7751 0.2249 0.2500  2 Mg 3.34, 6 Y 3.39-3.63, 4 Tm 3.52-3.59
3 Tm 0.0957 0.9043 0.2500  6 Mg 3.28-3.32, 4 Y 3.52-3.59, 2 Tm 3.63
4 Tm 0.9043 0.0957 0.7500  6 Mg 3.28-3.32, 4 Y 3.52-3.59, 2 Tm 3.63
5 Mg 0.4374 0.5626 0.2500  6 Tm 3.28-3.32, 2 Y 3.34, 4 Mg 3.48-3.63
6 Mg 0.5626 0.4374 0.7500  6 Tm 3.28-3.32, 2 Y 3.34, 4 Mg 3.48-3.63

Here are the energies relative to the best structure, in meV/atom: i 471; ii 0.

--- i ---
## PmCdNO (PBE)

Data for a relaxed structure of PmCdNO.

Calculated values
SG: No. 129

a b c (Å): 3.9148 3.9148 8.2164
angles (deg): 90.00 90.00 90.00
With the nearest neighbours (Å) after each atom.
Fractional coordinates of all 8 atoms:
1 Pm 0.2500 0.2500 0.1451  4 O 2.29
2 Pm 0.7500 0.7500 0.8549  4 O 2.29
3 Cd 0.2500 0.7500 0.5000  4 N 2.41
4 Cd 0.7500 0.2500 0.5000  4 N 2.41
5 N 0.2500 0.2500 0.6716  4 Cd 2.41
6 N 0.7500 0.7500 0.3284  4 Cd 2.41
7 O 0.2500 0.7500 0.0000  4 Pm 2.29
8 O 0.7500 0.2500 0.0000  4 Pm 2.29

--- ii ---
## PmCdNO (PBE)

Data for a relaxed structure of PmCdNO.

Calculated values
SG: No. 26

a b c (Å): 3.7892 6.3642 6.0692
angles (deg): 90.00 90.00 90.00
With the nearest neighbours (Å) after each atom.
Fractional coordinates of all 8 atoms:
1 Pm 0.0000 0.1776 0.0000  2 O 2.27-2.29, 2 N 2.28
2 Pm 0.0000 0.8224 0.5000  2 O 2.27-2.29, 2 N 2.28
3 Cd 0.5000 0.3497 0.5037  2 N 2.19-2.21, 2 O 2.38
4 Cd 0.5000 0.6503 0.0037  2 N 2.19-2.21, 2 O 2.38
5 N 0.5000 0.3295 0.8642  2 Cd 2.19-2.21, 2 Pm 2.28
6 N 0.5000 0.6705 0.3642  2 Cd 2.19-2.21, 2 Pm 2.28
7 O 0.0000 0.1590 0.3765  2 Pm 2.27-2.29, 2 Cd 2.38
8 O 0.0000 0.8410 0.8765  2 Pm 2.27-2.29, 2 Cd 2.38

Here are the energies relative to the best structure, in meV/atom: i 71; ii 0.

--- i ---
## LuCuSnTe3 (PBE)

Data for a relaxed structure of LuCuSnTe3.

Calculated values
SG: No. 62

a b c (Å): 11.0364 4.2289 14.3888
angles (deg): 90.00 90.00 90.00
With the nearest neighbours (Å) after each atom.
Fractional coordinates of all 24 atoms:
1 Lu 0.0226 0.2500 0.2424  6 Te 3.01-3.06, 2 Cu 3.36
2 Lu 0.4774 0.7500 0.7424  6 Te 3.01-3.06, 2 Cu 3.36
3 Lu 0.5226 0.2500 0.2576  6 Te 3.01-3.06, 2 Cu 3.36
4 Lu 0.9774 0.7500 0.7576  6 Te 3.01-3.06, 2 Cu 3.36
5 Cu 0.2427 0.2500 0.7209  4 Te 2.60-2.70
6 Cu 0.2573 0.7500 0.2209  4 Te 2.60-2.70
7 Cu 0.7427 0.2500 0.7791  4 Te 2.60-2.70
8 Cu 0.7573 0.7500 0.2791  4 Te 2.60-2.70
9 Sn 0.2193 0.7500 0.5113  7 Te 3.21-3.40
10 Sn 0.2807 0.2500 0.0113  7 Te 3.21-3.40
11 Sn 0.7193 0.7500 0.9887  7 Te 3.21-3.40
12 Sn 0.7807 0.2500 0.4887  7 Te 3.21-3.40
13 Te 0.0437 0.2500 0.6121  1 Cu 2.70
14 Te 0.0816 0.7500 0.1005  1 Cu 2.60
15 Te 0.2328 0.7500 0.8350  2 Cu 2.68
16 Te 0.2672 0.2500 0.3350  2 Cu 2.68
17 Te 0.4184 0.2500 0.6005  1 Cu 2.60
18 Te 0.4563 0.7500 0.1121  1 Cu 2.70
19 Te 0.5437 0.2500 0.8879  1 Cu 2.70
20 Te 0.5816 0.7500 0.3995  1 Cu 2.60
21 Te 0.7328 0.7500 0.6650  2 Cu 2.68
22 Te 0.7672 0.2500 0.1650  2 Cu 2.68
23 Te 0.9184 0.2500 0.8995  1 Cu 2.60
24 Te 0.9563 0.7500 0.3879  1 Cu 2.70

--- ii ---
## LuCuSnTe3 (PBE)

Data for a relaxed structure of LuCuSnTe3.

Calculated values
SG: No. 62

a b c (Å): 8.8690 4.4136 17.0698
angles (deg): 90.00 90.00 90.00
With the nearest neighbours (Å) after each atom.
Fractional coordinates of all 24 atoms:
1 Lu 0.2485 0.2500 0.0372  7 Te 3.00-3.30
2 Lu 0.2515 0.7500 0.5372  7 Te 3.00-3.30
3 Lu 0.7485 0.2500 0.4628  7 Te 3.00-3.30
4 Lu 0.7515 0.7500 0.9628  7 Te 3.00-3.30
5 Cu 0.1253 0.7500 0.8688  4 Te 2.59-2.67
6 Cu 0.3747 0.2500 0.3688  4 Te 2.59-2.67
7 Cu 0.6253 0.7500 0.6312  4 Te 2.59-2.67
8 Cu 0.8747 0.2500 0.1312  4 Te 2.59-2.67
9 Sn 0.0810 0.7500 0.2748  5 Te 3.13-3.25
10 Sn 0.4190 0.2500 0.7748  5 Te 3.13-3.25
11 Sn 0.5810 0.7500 0.2252  5 Te 3.13-3.25
12 Sn 0.9190 0.2500 0.7252  5 Te 3.13-3.25
13 Te 0.0198 0.7500 0.0945  2 Cu 2.63
14 Te 0.1180 0.2500 0.4406  1 Cu 2.59
15 Te 0.1869 0.7500 0.7157  1 Cu 2.67
16 Te 0.3131 0.2500 0.2157  1 Cu 2.67
17 Te 0.3820 0.7500 0.9406  1 Cu 2.59
18 Te 0.4802 0.2500 0.5945  2 Cu 2.63
19 Te 0.5198 0.7500 0.4055  2 Cu 2.63
20 Te 0.6180 0.2500 0.0594  1 Cu 2.59
21 Te 0.6869 0.7500 0.7843  1 Cu 2.67
22 Te 0.8131 0.2500 0.2843  1 Cu 2.67
23 Te 0.8820 0.7500 0.5594  1 Cu 2.59
24 Te 0.9802 0.2500 0.9055  2 Cu 2.63

Here are the energies relative to the best structure, in meV/atom: i 0; ii 63.